Entry 1:
{"formula": "Tm2MgSe4", "functional": "PBE-GGA", "state": "optimized geometry", "lattice": [[-7.382, 0.009, 0.004], [0.009, -8.532, 0.034], [1.261, 2.103, 13.904]], "species": ["Se", "Se", "Se", "Se", "Se", "Se", "Se", "Se", "Se", "Se", "Se", "Se", "Se", "Se", "Se", "Se", "Tm", "Tm", "Tm", "Tm", "Tm", "Tm", "Tm", "Tm", "Mg", "Mg", "Mg", "Mg"], "frac_coords": [[0.895, 0.846, 0.897], [0.692, 0.545, 0.636], [0.173, 0.783, 0.633], [0.094, 0.646, 0.103], [0.827, 0.217, 0.367], [0.603, 0.898, 0.103], [0.598, 0.403, 0.100], [0.402, 0.597, 0.900], [0.906, 0.354, 0.897], [0.397, 0.102, 0.897], [0.308, 0.455, 0.364], [0.809, 0.716, 0.371], [0.191, 0.284, 0.629], [0.105, 0.154, 0.103], [0.694, 0.026, 0.634], [0.306, 0.974, 0.366], [0.244, 0.873, 0.000], [0.632, 0.442, 0.291], [0.368, 0.047, 0.705], [0.368, 0.558, 0.709], [0.756, 0.127, 0.000], [0.865, 0.303, 0.706], [0.632, 0.953, 0.295], [0.135, 0.697, 0.294], [0.751, 0.621, 0.995], [0.249, 0.379, 0.005], [0.867, 0.805, 0.713], [0.133, 0.195, 0.287]], "spacegroup": "P-1 (2)", "de_polymorph_ev_per_atom": 0.190, "dos_at_fermi_per_ev_atom": 0.000, "e_form_raw_mev_per_atom": -1508, "magnetic_moment_mub_per_cell": 0.0}

Entry 2:
{"formula": "TmMgSe2", "functional": "PBE-GGA", "state": "optimized geometry", "lattice": [[4.183, 0.000, 0.000], [-2.091, 3.622, 0.000], [0.000, 0.000, 7.694]], "species": ["Se", "Se", "Mg", "Tm"], "frac_coords": [[0.000, 0.000, 0.341], [0.667, 0.333, 0.884], [0.000, 0.000, 0.002], [0.667, 0.333, 0.523]], "spacegroup": "P3m1 (156)", "de_polymorph_ev_per_atom": 0.198, "dos_at_fermi_per_ev_atom": 0.204, "e_form_raw_mev_per_atom": -1204, "magnetic_moment_mub_per_cell": 1.0}

Entry 3:
{"formula": "Tm2MgSe4", "functional": "PBE-GGA", "state": "optimized geometry", "lattice": [[-6.075, 5.492, 0.020], [-6.743, -1.369, 4.441], [-1.462, 4.465, 6.708]], "species": ["Se", "Se", "Se", "Se", "Se", "Se", "Se", "Se", "Mg", "Mg", "Tm", "Tm", "Tm", "Tm"], "frac_coords": [[0.359, 0.880, 0.880], [0.370, 0.891, 0.370], [0.880, 0.880, 0.359], [0.891, 0.370, 0.370], [0.370, 0.370, 0.370], [0.370, 0.370, 0.891], [0.880, 0.880, 0.880], [0.880, 0.359, 0.880], [0.500, 0.500, 0.500], [0.750, 0.750, 0.750], [0.125, 0.625, 0.125], [0.625, 0.125, 0.125], [0.125, 0.125, 0.125], [0.125, 0.125, 0.625]], "spacegroup": "Fd-3m (227)", "de_polymorph_ev_per_atom": 0.000, "e_form_raw_mev_per_atom": -1698, "magnetic_moment_mub_per_cell": 0.0}

Entry 4:
{"formula": "TmMg2Se4", "functional": "PBE-GGA", "state": "optimized geometry", "lattice": [[3.810, 0.000, 0.000], [-1.905, 6.374, 0.000], [0.000, 0.000, 13.255]], "species": ["Mg", "Mg", "Mg", "Mg", "Tm", "Tm", "Se", "Se", "Se", "Se", "Se", "Se", "Se", "Se"], "frac_coords": [[0.133, 0.266, 0.069], [0.867, 0.734, 0.931], [0.133, 0.266, 0.431], [0.867, 0.734, 0.569], [0.383, 0.765, 0.250], [0.617, 0.235, 0.750], [0.500, 0.000, 0.500], [0.217, 0.434, 0.882], [0.783, 0.566, 0.382], [0.500, 0.000, 0.000], [0.955, 0.909, 0.750], [0.217, 0.434, 0.618], [0.783, 0.566, 0.118], [0.045, 0.091, 0.250]], "spacegroup": "Cmcm (63)", "dos_at_fermi_per_ev_atom": 0.440, "e_form_raw_mev_per_atom": -1267, "magnetic_moment_mub_per_cell": 0.0}

Copy entry 1 word for word.
{"formula": "Tm2MgSe4", "functional": "PBE-GGA", "state": "optimized geometry", "lattice": [[-7.382, 0.009, 0.004], [0.009, -8.532, 0.034], [1.261, 2.103, 13.904]], "species": ["Se", "Se", "Se", "Se", "Se", "Se", "Se", "Se", "Se", "Se", "Se", "Se", "Se", "Se", "Se", "Se", "Tm", "Tm", "Tm", "Tm", "Tm", "Tm", "Tm", "Tm", "Mg", "Mg", "Mg", "Mg"], "frac_coords": [[0.895, 0.846, 0.897], [0.692, 0.545, 0.636], [0.173, 0.783, 0.633], [0.094, 0.646, 0.103], [0.827, 0.217, 0.367], [0.603, 0.898, 0.103], [0.598, 0.403, 0.100], [0.402, 0.597, 0.900], [0.906, 0.354, 0.897], [0.397, 0.102, 0.897], [0.308, 0.455, 0.364], [0.809, 0.716, 0.371], [0.191, 0.284, 0.629], [0.105, 0.154, 0.103], [0.694, 0.026, 0.634], [0.306, 0.974, 0.366], [0.244, 0.873, 0.000], [0.632, 0.442, 0.291], [0.368, 0.047, 0.705], [0.368, 0.558, 0.709], [0.756, 0.127, 0.000], [0.865, 0.303, 0.706], [0.632, 0.953, 0.295], [0.135, 0.697, 0.294], [0.751, 0.621, 0.995], [0.249, 0.379, 0.005], [0.867, 0.805, 0.713], [0.133, 0.195, 0.287]], "spacegroup": "P-1 (2)", "de_polymorph_ev_per_atom": 0.190, "dos_at_fermi_per_ev_atom": 0.000, "e_form_raw_mev_per_atom": -1508, "magnetic_moment_mub_per_cell": 0.0}